[1]
# TbY6Ho5

TbY6Ho5 after structural relaxation (PBE, Alexandria via LeMat-Bulk).

```
data_TbY6Ho5
_chemical_formula_sum 'Tb2 Y12 Ho10'
_cell_length_a 6.153
_cell_length_b 10.643
_cell_length_c 11.770
_cell_angle_alpha 90.00
_cell_angle_beta 99.98
_cell_angle_gamma 90.00
_space_group_name_H-M_alt 'C 1 2/m 1'
_space_group_IT_number 12
_space_group_name_Hall '-C 2y'
loop_
_atom_site_label
_atom_site_type_symbol
_atom_site_fract_x
_atom_site_fract_y
_atom_site_fract_z
_atom_site_occupancy
Tb1 Tb 0.000 0.000 0.000 1
Y1 Y 0.249 0.500 0.250 1
Y2 Y 0.250 0.167 0.250 1
Ho1 Ho 0.000 0.167 0.500 1
Ho2 Ho 0.000 0.333 0.000 1
Ho3 Ho 0.000 0.500 0.500 1
```

Summary:
E, Ha/atom: -0.202
V, Å³ per cell: 759
Size of the total moment, μB per atom: 0.00
Formation energy, kcal/mol of atoms: 0.521

[2]
# CdNiSn2Os

CdNiSn2Os after structural relaxation (PBE, Alexandria via LeMat-Bulk).

```
data_CdNiSn2Os
_chemical_formula_sum 'Cd1 Ni1 Sn2 Os1'
_cell_length_a 5.063
_cell_length_b 5.063
_cell_length_c 5.264
_cell_angle_alpha 90.00
_cell_angle_beta 90.00
_cell_angle_gamma 90.00
_space_group_name_H-M_alt 'P 4/m m m'
_space_group_IT_number 123
_space_group_name_Hall '-P 4 2'
loop_
_atom_site_label
_atom_site_type_symbol
_atom_site_fract_x
_atom_site_fract_y
_atom_site_fract_z
_atom_site_occupancy
Cd1 Cd 0.000 0.000 0.000 1
Ni1 Ni 0.500 0.500 0.000 1
Sn1 Sn 0.000 0.500 0.500 1
Os1 Os 0.000 0.000 0.500 1
```

Summary:
E, Ha/atom: -0.161
V, Å³ per cell: 135
Size of the total moment, μB per atom: 0.15
Formation energy, kcal/mol of atoms: 18.413

[3]
# Tl3HgN

Tl3HgN after structural relaxation (PBE, Alexandria via LeMat-Bulk).

```
data_Tl3HgN
_chemical_formula_sum 'Tl3 Hg1 N1'
_cell_length_a 5.084
_cell_length_b 5.084
_cell_length_c 5.084
_cell_angle_alpha 90.00
_cell_angle_beta 90.00
_cell_angle_gamma 90.00
_space_group_name_H-M_alt 'P m -3 m'
_space_group_IT_number 221
_space_group_name_Hall '-P 4 2 3'
loop_
_atom_site_label
_atom_site_type_symbol
_atom_site_fract_x
_atom_site_fract_y
_atom_site_fract_z
_atom_site_occupancy
Tl1 Tl 0.000 0.000 0.500 1
Hg1 Hg 0.500 0.500 0.500 1
N1 N 0.000 0.000 0.000 1
```

Summary:
E, Ha/atom: -0.094
V, Å³ per cell: 131
Size of the total moment, μB per atom: 0.00
ΔE_f (raw), eV/atom: 0.588

[4]
# Pr2HoTl

Pr2HoTl after structural relaxation (PBE, Alexandria via LeMat-Bulk).

```
data_Pr2HoTl
_chemical_formula_sum 'Pr6 Ho3 Tl3'
_cell_length_a 3.7118
_cell_length_b 3.7118
_cell_length_c 33.3993
_cell_angle_alpha 90.00
_cell_angle_beta 90.00
_cell_angle_gamma 120.00
_space_group_name_H-M_alt 'R 3 m'
_space_group_IT_number 160
_space_group_name_Hall 'R 3 -2"'
loop_
_atom_site_label
_atom_site_type_symbol
_atom_site_fract_x
_atom_site_fract_y
_atom_site_fract_z
_atom_site_occupancy
Pr1 Pr 0.0000 0.0000 0.0000 1
Pr2 Pr 0.0000 0.0000 0.1731 1
Ho1 Ho 0.0000 0.0000 0.4200 1
Tl1 Tl 0.0000 0.0000 0.5863 1
```

Summary:
E, Ha/atom: -0.155
V, Å³ per cell: 399
Size of the total moment, μB per atom: 0.06
Formation energy, kcal/mol of atoms: -2.057